Version 1
The following is a DFT calculation (PBE) of a relaxed CsNaSr2Ag crystal.

The structure belongs to space group P4/mmm (No. 123); the cell edges are 6.301, 6.301 and 7.039 Å and the angles 90.00°, 90.00° and 90.00°. The distinct sites, in fractional coordinates, are Cs at (0.000, 0.000, 0.000), Na at (0.500, 0.500, 0.000), Sr at (0.000, 0.500, 0.500) and Ag at (0.000, 0.000, 0.500).

As for the size of the total moment: 0.000 μB/f.u.


Version 2
The following is a DFT calculation (PBE) of a relaxed CsNaSr2Ag crystal.

The structure belongs to space group P4/mmm (No. 123); the cell edges are 6.329, 6.329 and 6.424 Å and the angles 90.00°, 90.00° and 90.00°. The distinct sites, in fractional coordinates, are Cs at (0.000, 0.000, 0.000), Na at (0.500, 0.500, 0.000), Sr at (0.000, 0.500, 0.500) and Ag at (0.500, 0.500, 0.500).

As for the size of the total moment: 0.000 μB/f.u.


What should be chosen as the most stable of them? Choose version 2.


Version 1
The following is a DFT calculation (PBE) of a relaxed CsNb2Ag crystal.

The structure belongs to space group I-42d (No. 122); the cell edges are 4.503, 4.503 and 22.413 Å and the angles 90.00°, 90.00° and 90.00°. The distinct sites, in fractional coordinates, are Cs at (0.000, 0.000, 0.000), Nb at (0.115, 0.250, 0.625) and Ag at (0.000, 0.000, 0.500).

As for the size of the total moment: 0.000 μB/f.u.


Version 2
The following is a DFT calculation (PBE) of a relaxed CsNb2Ag crystal.

The structure belongs to space group Fm-3m (No. 225); the cell edges are 6.920, 6.920 and 6.920 Å and the angles 90.00°, 90.00° and 90.00°. The distinct sites, in fractional coordinates, are Cs at (0.000, 0.000, 0.000), Nb at (0.250, 0.250, 0.250) and Ag at (0.000, 0.000, 0.500).

As for the size of the total moment: 0.000 μB/f.u.


What should be chosen as the most stable of them? Choose version 1.


Version 1
The following is a DFT calculation (PBE) of a relaxed Cs2NbAgSe4 crystal.

The structure belongs to space group Fddd (No. 70, origin choice 2); the cell edges are 6.126, 14.977 and 25.823 Å and the angles 90.00°, 90.00° and 90.00°. The distinct sites, in fractional coordinates, are Cs at (0.125, 0.125, 0.303), Nb at (0.125, 0.125, 0.625), Ag at (0.125, 0.125, 0.125) and Se at (0.096, 0.278, 0.820).

As for the size of the total moment: 0.000 μB/f.u.


Version 2
The following is a DFT calculation (PBE) of a relaxed Cs2NbAgSe4 crystal.

The structure belongs to space group Fddd (No. 70, origin choice 2); the cell edges are 6.170, 14.950 and 25.932 Å and the angles 90.00°, 90.00° and 90.00°. The distinct sites, in fractional coordinates, are Cs at (0.125, 0.125, 0.304), Nb at (0.125, 0.125, 0.125), Ag at (0.125, 0.125, 0.625) and Se at (0.095, 0.278, 0.430).

As for the size of the total moment: 0.000 μB/f.u.


What should be chosen as the most stable of them? Choose version 2.


Version 1
The following is a DFT calculation (PBE) of a relaxed Cs4AgO crystal.

The structure belongs to space group Cmc2_1 (No. 36); the cell edges are 5.860, 26.479 and 8.588 Å and the angles 90.00°, 90.00° and 90.00°. The distinct sites, in fractional coordinates, are Cs at (0.000, 0.013, 0.000), Cs at (0.000, 0.154, 0.462), Cs at (0.000, 0.168, 0.970), Cs at (0.000, 0.422, 0.739), Ag at (0.000, 0.427, 0.218) and O at (0.000, 0.098, 0.197).

As for the size of the total moment: 0.000 μB/f.u.


Version 2
The following is a DFT calculation (PBE) of a relaxed Cs4AgO crystal.

The structure belongs to space group P4/mbm (No. 127); the cell edges are 8.157, 8.157 and 9.489 Å and the angles 90.00°, 90.00° and 90.00°. The distinct sites, in fractional coordinates, are Cs at (0.000, 0.000, 0.203), Cs at (0.186, 0.314, 0.500), Ag at (0.000, 0.500, 0.000) and O at (0.000, 0.000, 0.500).

As for the size of the total moment: 0.000 μB/f.u.


What should be chosen as the most stable of them? Choose version 1.


Version 1
The following is a DFT calculation (PBE) of a relaxed Cs2RbAgO crystal.

The structure belongs to space group Cmcm (No. 63); the cell edges are 4.569, 19.723 and 9.281 Å and the angles 90.00°, 90.00° and 90.00°. The distinct sites, in fractional coordinates, are Cs at (0.000, 0.133, 0.018), Rb at (0.000, 0.487, 0.250), Ag at (0.000, 0.294, 0.250) and O at (0.000, 0.000, 0.000).

As for the size of the total moment: 0.062 μB/f.u.


Version 2
The following is a DFT calculation (PBE) of a relaxed Cs2RbAgO crystal.

The structure belongs to space group P4/mmm (No. 123); the cell edges are 5.974, 5.974 and 5.694 Å and the angles 90.00°, 90.00° and 90.00°. The distinct sites, in fractional coordinates, are Cs at (0.000, 0.500, 0.000), Rb at (0.000, 0.000, 0.500), Ag at (0.500, 0.500, 0.500) and O at (0.000, 0.000, 0.000).

As for the size of the total moment: 0.002 μB/f.u.


What should be chosen as the most stable of them? Choose version 2.


Version 1
The following is a DFT calculation (PBE) of a relaxed CsAg2P2 crystal.

The structure belongs to space group I4/mmm (No. 139); the cell edges are 4.801, 4.801 and 9.937 Å and the angles 90.00°, 90.00° and 90.00°. The distinct sites, in fractional coordinates, are Cs at (0.000, 0.000, 0.000), Ag at (0.000, 0.500, 0.250) and P at (0.000, 0.000, 0.389).

As for the size of the total moment: 0.000 μB/f.u.


Version 2
The following is a DFT calculation (PBE) of a relaxed CsAg2P2 crystal.

The structure belongs to space group P4/mbm (No. 127); the cell edges are 8.725, 8.725 and 3.121 Å and the angles 90.00°, 90.00° and 90.00°. The distinct sites, in fractional coordinates, are Cs at (0.000, 0.000, 0.000), Ag at (0.120, 0.380, 0.500) and P at (0.138, 0.638, 0.000).

As for the size of the total moment: 0.000 μB/f.u.


What should be chosen as the most stable of them? Choose version 1.


Version 1
The following is a DFT calculation (PBE) of a relaxed CsAgP3 crystal.

The structure belongs to space group Pm-3m (No. 221); the cell edges are 5.517, 5.517 and 5.517 Å and the angles 90.00°, 90.00° and 90.00°. The distinct sites, in fractional coordinates, are Cs at (0.000, 0.000, 0.000), Ag at (0.500, 0.500, 0.500) and P at (0.000, 0.000, 0.500).

As for the size of the total moment: 1.653 μB/f.u.


Version 2
The following is a DFT calculation (PBE) of a relaxed CsAgP3 crystal.

The structure belongs to space group Pm-3m (No. 221); the cell edges are 5.076, 5.076 and 5.076 Å and the angles 90.00°, 90.00° and 90.00°. The distinct sites, in fractional coordinates, are Cs at (0.000, 0.000, 0.000), Ag at (0.500, 0.500, 0.500) and P at (0.000, 0.500, 0.500).

As for the size of the total moment: 0.000 μB/f.u.


What should be chosen as the most stable of them? Choose version 2.


Version 1
The following is a DFT calculation (PBE) of a relaxed CsAgP2S crystal.

The structure belongs to space group P4/mmm (No. 123); the cell edges are 4.986, 4.986 and 5.331 Å and the angles 90.00°, 90.00° and 90.00°. The distinct sites, in fractional coordinates, are Cs at (0.000, 0.000, 0.000), Ag at (0.500, 0.500, 0.500), P at (0.000, 0.500, 0.500) and S at (0.500, 0.500, 0.000).

As for the size of the total moment: 1.299 μB/f.u.


Version 2
The following is a DFT calculation (PBE) of a relaxed CsAgP2S crystal.

The structure belongs to space group P4/mmm (No. 123); the cell edges are 5.873, 5.873 and 5.430 Å and the angles 90.00°, 90.00° and 90.00°. The distinct sites, in fractional coordinates, are Cs at (0.000, 0.000, 0.000), Ag at (0.500, 0.500, 0.500), P at (0.000, 0.500, 0.000) and S at (0.000, 0.000, 0.500).

As for the size of the total moment: 2.957 μB/f.u.


What should be chosen as the most stable of them? Choose version 1.